No. 1
An optimized crystal structure of Ba9NaSr2. Source: Alexandria via LeMat-Bulk, functional GGA-PBE.

Results
D(E_F): 18.84 states/eV/cell
formation energy from the elements: 0.73 kcal/mol of atoms

abc: 6.198 6.198 19.172
angles: 90.00 90.00 90.00
Space group P4/mmm (No. 123)
Asymmetric unit:
Ba (0.000, 0.000, 0.000) (multiplicity 1)
Ba (0.000, 0.000, 0.330) (multiplicity 2)
Ba (0.000, 0.500, 0.163) (multiplicity 4)
Ba (0.000, 0.500, 0.500) (multiplicity 2)
Na (0.500, 0.500, 0.000) (multiplicity 1)
Sr (0.500, 0.500, 0.332) (multiplicity 2)



No. 2
An optimized crystal structure of CsKCd2Pb. Source: Alexandria via LeMat-Bulk, functional GGA-PBE.

Results
D(E_F): 5.15 states/eV/cell
energy relative to the lowest polymorph listed for this composition: 641 meV/atom
formation energy from the elements: 16.14 kcal/mol of atoms

abc: 6.821 6.821 6.935
angles: 90.00 90.00 90.00
Space group P4/mmm (No. 123)
Asymmetric unit:
Cs (0.000, 0.000, 0.000) (multiplicity 1)
K (0.000, 0.000, 0.500) (multiplicity 1)
Cd (0.000, 0.500, 0.000) (multiplicity 2)
Pb (0.500, 0.500, 0.500) (multiplicity 1)



No. 3
An optimized crystal structure of Ti2NbPb. Source: Alexandria via LeMat-Bulk, functional GGA-PBE.

Results
D(E_F): 3.73 states/eV/cell
formation energy from the elements: -2.15 kcal/mol of atoms

abc: 3.466 3.466 6.317
angles: 90.00 90.00 90.00
Space group P4/mmm (No. 123)
Asymmetric unit:
Ti (0.000, 0.000, 0.226) (multiplicity 2)
Nb (0.500, 0.500, 0.000) (multiplicity 1)
Pb (0.500, 0.500, 0.500) (multiplicity 1)



No. 4
An optimized crystal structure of TiBiPO2. Source: Alexandria via LeMat-Bulk, functional GGA-PBE.

Results
D(E_F): 0.62 states/eV/cell
energy relative to the lowest polymorph listed for this composition: 0 meV/atom

abc: 3.924 3.924 5.122
angles: 90.00 90.00 90.00
Space group P4/mmm (No. 123)
Asymmetric unit:
Ti (0.000, 0.000, 0.000) (multiplicity 1)
Bi (0.500, 0.500, 0.500) (multiplicity 1)
P (0.000, 0.000, 0.500) (multiplicity 1)
O (0.000, 0.500, 0.000) (multiplicity 2)



No. 5
An optimized crystal structure of La3Ni2Au4. Source: Alexandria via LeMat-Bulk, functional GGA-PBE.

Results
D(E_F): 11.43 states/eV/cell
formation energy from the elements: -14.73 kcal/mol of atoms

abc: 11.407 4.308 9.258
angles: 90.00 113.44 90.00
Space group C2/m (No. 12)
Asymmetric unit:
La (0.000, 0.000, 0.000) (multiplicity 2)
La (0.179, 0.500, 0.646) (multiplicity 4)
Ni (0.111, 0.500, 0.272) (multiplicity 4)
Au (0.038, 0.000, 0.369) (multiplicity 4)
Au (0.223, 0.500, 0.080) (multiplicity 4)



No. 6
An optimized crystal structure of PmErMgSc. Source: Alexandria via LeMat-Bulk, functional GGA-PBE.

Results
D(E_F): 17.93 states/eV/cell
energy relative to the lowest polymorph listed for this composition: 28 meV/atom
formation energy from the elements: 0.56 kcal/mol of atoms

abc: 7.647 7.647 7.647
angles: 90.00 90.00 90.00
Space group F-43m (No. 216)
Asymmetric unit:
Pm (0.000, 0.000, 0.000) (multiplicity 4)
Er (0.000, 0.000, 0.500) (multiplicity 4)
Mg (0.250, 0.250, 0.750) (multiplicity 4)
Sc (0.250, 0.250, 0.250) (multiplicity 4)



No. 7
An optimized crystal structure of LaTaGe2. Source: Alexandria via LeMat-Bulk, functional GGA-PBE.

Results
D(E_F): 14.85 states/eV/cell
energy relative to the lowest polymorph listed for this composition: 329 meV/atom
formation energy from the elements: -1.75 kcal/mol of atoms

abc: 6.957 6.957 6.957
angles: 90.00 90.00 90.00
Space group Fm-3m (No. 225)
Asymmetric unit:
La (0.000, 0.000, 0.000) (multiplicity 4)
Ta (0.000, 0.000, 0.500) (multiplicity 4)
Ge (0.250, 0.250, 0.250) (multiplicity 8)



No. 8
An optimized crystal structure of CsTiGa2O6. Source: Alexandria via LeMat-Bulk, functional GGA-PBE.

Results
calculated total energy: -6.42 eV per atom

abc: 8.919 12.764 6.394
angles: 90.00 109.63 90.00
Space group C2/c (No. 15)
Asymmetric unit:
Cs (0.000, 0.097, 0.250) (multiplicity 4)
Ti (0.000, 0.208, 0.750) (multiplicity 4)
Ga (0.120, 0.415, 0.117) (multiplicity 8)
O (0.034, 0.288, 0.995) (multiplicity 8)
O (0.108, 0.472, 0.403) (multiplicity 8)
O (0.163, 0.115, 0.776) (multiplicity 8)



No. 9
An optimized crystal structure of ReP5. Source: Alexandria via LeMat-Bulk, functional GGA-PBE.

Results
D(E_F): 3.42 states/eV/cell
energy relative to the lowest polymorph listed for this composition: 407 meV/atom
formation energy from the elements: 12.65 kcal/mol of atoms

abc: 4.6688 4.6688 4.6270
angles: 90.00 90.00 120.00
Space group P-62m (No. 189)
Asymmetric unit:
Re (0.0000, 0.0000, 0.0000) (multiplicity 1)
P (0.0000, 0.7173, 0.5000) (multiplicity 3)
P (0.3333, 0.6667, 0.0000) (multiplicity 2)



No. 10
An optimized crystal structure of Se2S5Cl2. Source: Alexandria via LeMat-Bulk, functional GGA-PBE.

Results
calculated total energy: -3.49 eV per atom

abc: 23.936 11.875 4.662
angles: 90.00 100.93 90.00
Space group C2 (No. 5)
Asymmetric unit:
Se (0.000, 0.000, 0.000) (multiplicity 2)
Se (0.000, 0.500, 0.500) (multiplicity 2)
Se (0.250, 0.089, 0.188) (multiplicity 4)
S (0.030, 0.118, 0.372) (multiplicity 4)
S (0.030, 0.618, 0.187) (multiplicity 4)
S (0.182, 0.472, 0.443) (multiplicity 4)
S (0.182, 0.972, 0.425) (multiplicity 4)
S (0.250, 0.412, 0.310) (multiplicity 4)
Cl (0.174, 0.181, 0.895) (multiplicity 4)
Cl (0.175, 0.682, 0.958) (multiplicity 4)



No. 11
An optimized crystal structure of BaSr2AgRh. Source: Alexandria via LeMat-Bulk, functional GGA-PBE.

Results
D(E_F): 4.00 states/eV/cell
formation energy from the elements: -2.33 kcal/mol of atoms

abc: 5.784 5.784 5.899
angles: 90.00 90.00 90.00
Space group P4/mmm (No. 123)
Asymmetric unit:
Ba (0.000, 0.000, 0.000) (multiplicity 1)
Sr (0.000, 0.500, 0.500) (multiplicity 2)
Ag (0.500, 0.500, 0.000) (multiplicity 1)
Rh (0.000, 0.000, 0.500) (multiplicity 1)



No. 12
An optimized crystal structure of Cs3Er3TiSe8. Source: Alexandria via LeMat-Bulk, functional GGA-PBE.

Results
calculated total energy: -5.05 eV per atom

abc: 8.1674 8.1674 25.6296
angles: 90.00 90.00 120.00
Space group R-3m (No. 166, hexagonal axes)
Asymmetric unit:
Cs (0.0000, 0.5000, 0.0000) (multiplicity 9)
Er (0.0000, 0.5000, 0.5000) (multiplicity 9)
Ti (0.0000, 0.0000, 0.5000) (multiplicity 3)
Se (0.0000, 0.0000, 0.2283) (multiplicity 6)
Se (0.0233, 0.5116, 0.2249) (multiplicity 18)



No. 13
An optimized crystal structure of YHfAsSe2. Source: Alexandria via LeMat-Bulk, functional GGA-PBE.

Results
D(E_F): 3.01 states/eV/cell
energy relative to the lowest polymorph listed for this composition: 914 meV/atom

abc: 5.244 5.244 5.378
angles: 90.00 90.00 90.00
Space group P4/mmm (No. 123)
Asymmetric unit:
Y (0.000, 0.000, 0.000) (multiplicity 1)
Hf (0.500, 0.500, 0.500) (multiplicity 1)
As (0.000, 0.000, 0.500) (multiplicity 1)
Se (0.000, 0.500, 0.000) (multiplicity 2)



No. 14
An optimized crystal structure of Ba2Al4Ga3Pb. Source: Alexandria via LeMat-Bulk, functional GGA-PBE.

Results
D(E_F): 2.70 states/eV/cell
formation energy from the elements: -6.64 kcal/mol of atoms

abc: 4.717 4.717 11.119
angles: 90.00 90.00 90.00
Space group P-4m2 (No. 115)
Asymmetric unit:
Ba (0.000, 0.500, 0.242) (multiplicity 2)
Al (0.000, 0.000, 0.000) (multiplicity 1)
Al (0.000, 0.500, 0.641) (multiplicity 2)
Al (0.500, 0.500, 0.000) (multiplicity 1)
Ga (0.000, 0.500, 0.877) (multiplicity 2)
Ga (0.500, 0.500, 0.500) (multiplicity 1)
Pb (0.000, 0.000, 0.500) (multiplicity 1)



No. 15
An optimized crystal structure of TcOs3Ru2. Source: Alexandria via LeMat-Bulk, functional GGA-PBE.

Results
D(E_F): 11.37 states/eV/cell
formation energy from the elements: 2.06 kcal/mol of atoms

abc: 8.596 3.854 5.439
angles: 90.00 108.58 90.00
Space group C2/m (No. 12)
Asymmetric unit:
Tc (0.000, 0.000, 0.000) (multiplicity 2)
Os (0.000, 0.000, 0.500) (multiplicity 2)
Os (0.167, 0.500, 0.833) (multiplicity 4)
Ru (0.166, 0.500, 0.333) (multiplicity 4)



No. 16
An optimized crystal structure of TeSe2S6. Source: Alexandria via LeMat-Bulk, functional GGA-PBE.

Results
D(E_F): 5.06 states/eV/cell
calculated total energy: -3.70 eV per atom

abc: 3.928 8.741 8.752
angles: 97.80 100.82 100.84
Space group P-1 (No. 2)
Asymmetric unit:
Te (0.000, 0.000, 0.000) (multiplicity 1)
Se (0.498, 0.856, 0.140) (multiplicity 2)
S (0.034, 0.538, 0.288) (multiplicity 2)
S (0.035, 0.289, 0.541) (multiplicity 2)
S (0.250, 0.671, 0.669) (multiplicity 2)



No. 17
An optimized crystal structure of Pr2Al2AgPd5. Source: Alexandria via LeMat-Bulk, functional GGA-PBE.

Results
D(E_F): 12.23 states/eV/cell
formation energy from the elements: -14.21 kcal/mol of atoms

abc: 10.540 10.540 3.440
angles: 90.00 90.00 90.00
Space group P4/mbm (No. 127)
Asymmetric unit:
Pr (0.177, 0.323, 0.000) (multiplicity 4)
Al (0.123, 0.623, 0.000) (multiplicity 4)
Ag (0.000, 0.000, 0.000) (multiplicity 2)
Pd (0.000, 0.500, 0.500) (multiplicity 2)
Pd (0.061, 0.792, 0.500) (multiplicity 8)